PBE-GGA TiIr2Cl, relaxed; relative energy among the computed polymorphs = 19.57 kJ per mole of atoms; energy = -6.257 eV per atom; E_form (uncorrected) = 0.609 eV per atom
1.0
5.420 0.000 0.000
0.000 5.420 0.000
0.000 0.000 11.423
Ti Ir Cl
4 8 4
Direct
0.000 0.000 0.000
0.000 0.500 0.250
0.500 0.000 0.750
0.500 0.500 0.500
0.235 0.250 0.625
0.250 0.735 0.875
0.250 0.765 0.375
0.265 0.250 0.125
0.735 0.750 0.125
0.750 0.235 0.375
0.750 0.265 0.875
0.765 0.750 0.625
0.000 0.000 0.500
0.000 0.500 0.750
0.500 0.000 0.250
0.500 0.500 0.000